DFT (SCAN) results for a PBEsol-optimized structure of CrTcTe2.

Results
Volume, Å³/atom: 20.15
Excess energy over the best structure of this formula in the dataset, eV per atom: 0.4154
Space group: P2/m, No. 10
Formation energy without anion corrections, eV/atom: 0.52

Cell lengths 3.584, 4.202, 5.374 Å; angles 90.00, 95.24, 90.00 degrees
Positions (direct):
Cr  0.000  0.000  0.000
Tc  0.500  0.000  0.500
Te  0.291  0.500  0.752
Te  0.709  0.500  0.248